Computed, not measured: CrRu2Se after structural relaxation at the GGA-PBE level of DFT.

a = 3.8810 Å, b = 5.3885 Å, c = 5.3885 Å
α = 30.77°, β = 90.00°, γ = 90.00°
Last column: nearest neighbours and their distance in Å.
Element x y z (fractional)
Cr 0.0000 0.0000 0.0000  5 Ru 2.61-2.77, 4 Se 2.63, 2 Cr 2.86
Ru 0.0000 0.2511 0.2511  2 Se 2.48, 1 Cr 2.61, 4 Ru 2.71
Ru 0.5000 0.6313 0.6313  1 Se 2.41
Se 0.5000 0.3990 0.3990  3 Ru 2.41-2.48, 4 Cr 2.63

Results
spin magnetization = 2.04 Bohr magnetons per cell
calculated total energy = -7.6966 eV/atom
E_form (uncorrected) = 0.218 eV per atom

=====

Computed, not measured: MnTe2Rh after structural relaxation at the GGA-PBE level of DFT.

a = 4.7893 Å, b = 4.4609 Å, c = 4.4609 Å
α = 71.26°, β = 90.00°, γ = 90.00°
Last column: nearest neighbours and their distance in Å.
Element x y z (fractional)
Mn 0.0000 0.0000 0.0000  5 Te 2.70-2.76, 2 Rh 2.76
Te 0.0000 0.3720 0.3720  3 Mn 2.70-2.76, 2 Rh 2.73
Te 0.5000 0.8183 0.8183  3 Rh 2.70-2.76, 2 Mn 2.73
Rh 0.5000 0.1904 0.1904  5 Te 2.70-2.76, 2 Mn 2.76

Results
spin magnetization = 3.86 Bohr magnetons per cell
calculated total energy = -5.8732 eV/atom
E_form (uncorrected) = -0.172 eV per atom

=====

Computed, not measured: Tb12Er7Sn after structural relaxation at the GGA-PBE level of DFT.

a = 8.5960 Å, b = 8.5960 Å, c = 8.5960 Å
α = 88.93°, β = 88.93°, γ = 88.93°
Last column: nearest neighbours and their distance in Å.
Element x y z (fractional)
Tb 0.9997 0.3549 0.8828  2 Er 3.20-3.47, 4 Tb 3.24-3.46
Tb 0.0003 0.6451 0.1172  2 Er 3.20-3.47, 4 Tb 3.24-3.46
Tb 0.1172 0.0003 0.6451  2 Er 3.20-3.47, 4 Tb 3.24-3.46
Tb 0.2356 0.6289 0.7567  5 Tb 3.24-3.49, 1 Sn 3.33, 2 Er 3.52-3.63
Tb 0.2433 0.7644 0.3711  5 Tb 3.24-3.49, 1 Sn 3.33, 2 Er 3.52-3.63
Tb 0.3549 0.8828 0.9997  2 Er 3.20-3.47, 4 Tb 3.24-3.46
Tb 0.3711 0.2433 0.7644  5 Tb 3.24-3.49, 1 Sn 3.33, 2 Er 3.52-3.63
Tb 0.6289 0.7567 0.2356  5 Tb 3.24-3.49, 1 Sn 3.33, 2 Er 3.52-3.63
Tb 0.6451 0.1172 0.0003  2 Er 3.20-3.47, 4 Tb 3.24-3.46
Tb 0.7567 0.2356 0.6289  5 Tb 3.24-3.49, 1 Sn 3.33, 2 Er 3.52-3.63
Tb 0.7644 0.3711 0.2433  5 Tb 3.24-3.49, 1 Sn 3.33, 2 Er 3.52-3.63
Tb 0.8828 0.9997 0.3549  2 Er 3.20-3.47, 4 Tb 3.24-3.46
Er 0.0000 0.0000 0.0000  6 Tb 3.20
Er 0.1184 0.3538 0.4424  3 Er 3.36-3.49, 5 Tb 3.47-3.74, 1 Sn 3.58
Er 0.3538 0.4424 0.1184  3 Er 3.36-3.49, 5 Tb 3.47-3.74, 1 Sn 3.58
Er 0.4424 0.1184 0.3538  3 Er 3.36-3.49, 5 Tb 3.47-3.74, 1 Sn 3.58
Er 0.5576 0.8816 0.6462  3 Er 3.36-3.49, 5 Tb 3.47-3.74, 1 Sn 3.58
Er 0.6462 0.5576 0.8816  3 Er 3.36-3.49, 5 Tb 3.47-3.74, 1 Sn 3.58
Er 0.8816 0.6462 0.5576  3 Er 3.36-3.49, 5 Tb 3.47-3.74, 1 Sn 3.58
Sn 0.5000 0.5000 0.5000  6 Tb 3.33, 6 Er 3.58

Results
energy of formation = 133 meV per atom
spin magnetization = 0.29 Bohr magnetons per cell
calculated total energy = -4.4424 eV/atom

=====

Computed, not measured: AlAs after structural relaxation at the GGA-PBE level of DFT.

a = 6.2522 Å, b = 6.2522 Å, c = 6.2522 Å
α = 146.21°, β = 145.63°, γ = 48.97°
Last column: nearest neighbours and their distance in Å.
Element x y z (fractional)
Al 0.3469 0.0969 0.2500  4 As 2.64, 2 Al 2.88
Al 0.6531 0.9031 0.7500  4 As 2.64, 2 Al 2.88
As 0.1094 0.3594 0.7500  4 Al 2.64
As 0.8906 0.6406 0.2500  4 Al 2.64

Results
energy of formation = 80 meV per atom
spin magnetization = 0.00 Bohr magnetons per cell
calculated total energy = -4.1164 eV/atom